First-principles (PBE) data for a relaxed Na2ZnHPb crystal, as listed in the Alexandria database.

As for the uncorrected energy: -10.75 eV for the cell shown.

It has space group P4/mmm (No. 123), with a = 4.418 Å, b = 4.418 Å, c = 5.165 Å, α = 90.00°, β = 90.00° and γ = 90.00°. The asymmetric unit holds Na at (0.000, 0.500, 0.000), Zn at (0.000, 0.000, 0.500), H at (0.000, 0.000, 0.000) and Pb at (0.500, 0.500, 0.500).


First-principles (PBE) data for a relaxed NaZnHPb2 crystal, as listed in the Alexandria database.

As for the uncorrected energy: -12.56 eV for the cell shown.

It has space group P4/mmm (No. 123), with a = 4.944 Å, b = 4.944 Å, c = 4.464 Å, α = 90.00°, β = 90.00° and γ = 90.00°. The asymmetric unit holds Na at (0.000, 0.000, 0.000), Zn at (0.500, 0.500, 0.000), H at (0.000, 0.000, 0.500) and Pb at (0.000, 0.500, 0.500).